[1]
DFT (PBE) results for crystalline Pr2SmHoSb4 at its relaxed geometry.

Calculated values
- D(E_F) (states/eV per atom) = 0.128
- uncorrected energy (eV per cell) = -44.7
- total magnetic moment (μB/atom) = 0.000
- density (g cm⁻³) = 7.0

Unit cell a=7.772 b=4.493 c=7.776 alpha=90.00 beta=109.49 gamma=90.00
Space group P2/m (No. 10)
Asymmetric unit:
Pr (0.000, 0.000, 0.000)
Pr (0.000, 0.500, 0.500)
Sm (0.500, 0.000, 0.500)
Ho (0.500, 0.500, 0.000)
Sb (0.258, 0.500, 0.249)
Sb (0.260, 0.000, 0.756)



[2]
DFT (PBE) results for crystalline CsMg6Cd at its relaxed geometry.

Calculated values
- D(E_F) (states/eV per atom) = 0.515
- uncorrected energy (eV per cell) = -20.4
- offset from the most stable computed form (meV/atom) = 0
- total magnetic moment (μB/atom) = 0.000
- density (g cm⁻³) = 2.2
- energy relative to the elements (meV/atom) = 141

Unit cell a=4.916 b=6.359 c=18.711 alpha=90.00 beta=90.00 gamma=90.00
Space group Amm2 (No. 38)
Asymmetric unit:
Cs (0.000, 0.000, 0.000)
Mg (0.000, 0.245, 0.724)
Mg (0.500, 0.000, 0.181)
Mg (0.500, 0.000, 0.678)
Mg (0.500, 0.244, 0.831)
Cd (0.000, 0.000, 0.359)